Na2VCoF6 | PBE with a Hubbard U | relaxed

Lattice parameters (Å, degrees): 5.5249 5.7325 7.9423 90.00 90.03 90.00
Element x y z (fractional)
F  0.3086  0.7034  0.4404
F  0.8867  0.5463  0.2462
F  0.1133  0.4537  0.7538
F  0.6995  0.3043  0.9406
F  0.8086  0.7966  0.9404
F  0.3005  0.6957  0.0594
F  0.6914  0.2966  0.5596
F  0.1914  0.2034  0.0596
F  0.3867  0.9537  0.7462
F  0.1995  0.1957  0.4406
F  0.6133  0.0463  0.2538
F  0.8005  0.8043  0.5594
Na  0.0171  0.9418  0.2498
Na  0.9829  0.0582  0.7502
Na  0.5171  0.5582  0.7498
Na  0.4829  0.4418  0.2502
Co  0.0000  0.5000  0.0000
Co  0.5000  0.0000  0.5000
V  0.5000  0.0000  0.0000
V  0.0000  0.5000  0.5000

Values from the calculation:
E_tot = -5.20 eV per atom